No. 1
First-principles (PBE-GGA) data for a relaxed structure of Ac19Cd4Co6, as listed in the Alexandria database.

Lattice parameters (Å, degrees): 11.0273 11.0273 11.0273 109.47 109.47 109.47
Fractional positions:
Ac: 0.6571 0.4080 0.6443
Ac: 0.6455 0.6455 0.0000
Ac: 0.3557 0.7637 0.0128
Ac: 0.5920 0.2491 0.2363
Ac: 0.6443 0.6571 0.4080
Ac: 0.7509 0.3429 0.9872
Ac: 0.9872 0.7509 0.3429
Ac: 0.0128 0.3557 0.7637
Ac: 0.0000 0.0000 0.0000
Ac: 0.0000 0.3545 0.3545
Ac: 0.3545 0.0000 0.3545
Ac: 0.0000 0.6455 0.6455
Ac: 0.7637 0.0128 0.3557
Ac: 0.6455 0.0000 0.6455
Ac: 0.2363 0.5920 0.2491
Ac: 0.4080 0.6443 0.6571
Ac: 0.3545 0.3545 0.0000
Ac: 0.3429 0.9872 0.7509
Ac: 0.2491 0.2363 0.5920
Cd: 0.3238 0.3238 0.3238
Cd: 0.0000 0.6762 0.0000
Cd: 0.0000 0.0000 0.6762
Cd: 0.6762 0.0000 0.0000
Co: 0.3142 0.5000 0.8142
Co: 0.8142 0.3142 0.5000
Co: 0.6858 0.5000 0.1858
Co: 0.1858 0.6858 0.5000
Co: 0.5000 0.8142 0.3142
Co: 0.5000 0.1858 0.6858

The calculated formation energy comes out at -0.049 eV/atom.

No. 2
First-principles (PBE-GGA) data for a relaxed structure of Ac6CdCo, as listed in the Alexandria database.

Lattice parameters (Å, degrees): 11.0556 11.0556 8.9405 125.01 89.59 122.81
Fractional positions:
Ac: 0.5939 0.8026 0.0050
Ac: 0.1553 0.6824 0.8378
Ac: 0.8048 0.1580 0.6054
Ac: 0.1952 0.8420 0.3946
Ac: 0.8989 0.8119 0.7108
Ac: 0.5526 0.1994 0.3946
Ac: 0.2024 0.4111 0.0050
Ac: 0.7976 0.5889 0.9950
Ac: 0.8447 0.3176 0.1622
Ac: 0.4061 0.1974 0.9950
Ac: 0.1011 0.1881 0.2892
Ac: 0.4474 0.8006 0.6054
Cd: 0.0000 0.0000 0.5000
Cd: 0.5000 0.5000 0.5000
Co: 0.0000 0.5000 0.0000
Co: 0.5000 0.0000 0.0000

The calculated formation energy comes out at 0.105 eV/atom.

No. 3
First-principles (PBE-GGA) data for a relaxed structure of Ac3CdCo, as listed in the Alexandria database.

Lattice parameters (Å, degrees): 5.8456 7.1174 9.8033 66.95 72.65 65.75
Fractional positions:
Ac: 0.8438 0.6619 0.6506
Ac: 0.6296 0.6620 0.0788
Ac: 0.1562 0.3381 0.3494
Ac: 0.3704 0.3380 0.9212
Ac: 0.8972 0.9842 0.2215
Ac: 0.1028 0.0158 0.7785
Co: 0.8706 0.3253 0.9335
Co: 0.1294 0.6747 0.0665
Cd: 0.4048 0.7453 0.4450
Cd: 0.5952 0.2547 0.5550

For the offset from the most stable computed form, the calculation gives 0 kJ/mol of formula units. The calculated formation energy comes out at -0.119 eV/atom.

No. 4
First-principles (PBE-GGA) data for a relaxed structure of Ac3CdCo, as listed in the Alexandria database.

Lattice parameters (Å, degrees): 5.5738 5.5738 5.5738 90.00 90.00 90.00
Fractional positions:
Cd: 0.5000 0.5000 0.5000
Ac: 0.0000 0.5000 0.0000
Ac: 0.5000 0.0000 0.0000
Ac: 0.0000 0.0000 0.5000
Co: 0.0000 0.0000 0.0000

For the offset from the most stable computed form, the calculation gives 9 kJ/mol of formula units. The calculated formation energy comes out at -0.099 eV/atom.

No. 5
First-principles (PBE-GGA) data for a relaxed structure of Ac9CdCo3, as listed in the Alexandria database.

Lattice parameters (Å, degrees): 7.3075 11.1350 12.0529 90.00 95.97 90.00
Fractional positions:
Ac: 0.8490 0.4384 0.1995
Ac: 0.5591 0.7500 0.6954
Ac: 0.6606 0.4316 0.8751
Ac: 0.1510 0.5616 0.8005
Ac: 0.7500 0.0513 0.5435
Ac: 0.3116 0.2500 0.6503
Ac: 0.2500 0.9487 0.4565
Ac: 0.1413 0.2500 0.9773
Ac: 0.3394 0.5684 0.1249
Ac: 0.8490 0.0616 0.1995
Ac: 0.6884 0.7500 0.3497
Ac: 0.7500 0.4487 0.5435
Ac: 0.6606 0.0684 0.8751
Ac: 0.2500 0.5513 0.4565
Ac: 0.4409 0.2500 0.3046
Ac: 0.3394 0.9316 0.1249
Ac: 0.1510 0.9384 0.8005
Ac: 0.8587 0.7500 0.0227
Co: 0.5544 0.9945 0.3267
Co: 0.5544 0.5055 0.3267
Co: 0.4456 0.4945 0.6733
Co: 0.4456 0.0055 0.6733
Co: 0.0000 0.0000 0.0000
Co: 0.0000 0.5000 0.0000
Cd: 0.0224 0.2500 0.4086
Cd: 0.9776 0.7500 0.5914

The calculated formation energy comes out at -0.021 eV/atom.

No. 6
First-principles (PBE-GGA) data for a relaxed structure of Ac5CdCo, as listed in the Alexandria database.

Lattice parameters (Å, degrees): 7.2366 7.2366 10.3351 96.69 96.69 97.42
Fractional positions:
Ac: 0.2164 0.3626 0.5002
Ac: 0.6479 0.0822 0.3660
Ac: 0.3521 0.9178 0.6340
Ac: 0.8812 0.1188 0.7500
Ac: 0.0822 0.6479 0.8660
Ac: 0.9178 0.3521 0.1340
Ac: 0.6374 0.7836 0.9998
Ac: 0.1188 0.8812 0.2500
Ac: 0.3626 0.2164 0.0002
Ac: 0.7836 0.6374 0.4998
Co: 0.0000 0.0000 0.0000
Co: 0.0000 0.0000 0.5000
Cd: 0.5668 0.4332 0.7500
Cd: 0.4332 0.5668 0.2500

The calculated formation energy comes out at -0.045 eV/atom.

No. 7
First-principles (PBE-GGA) data for a relaxed structure of Ac7Cd2Co2, as listed in the Alexandria database.

Lattice parameters (Å, degrees): 3.9712 10.4785 10.4785 62.57 79.08 79.08
Fractional positions:
Co: 0.7323 0.8664 0.6690
Co: 0.2677 0.3310 0.1336
Ac: 0.8149 0.0918 0.2784
Ac: 0.6386 0.4639 0.2589
Ac: 0.5000 0.0233 0.9767
Ac: 0.3614 0.7411 0.5361
Ac: 0.1485 0.0972 0.6058
Ac: 0.1851 0.7216 0.9082
Ac: 0.8515 0.3942 0.9028
Cd: 0.5000 0.3634 0.6366
Cd: 0.0000 0.7600 0.2400

The calculated formation energy comes out at -0.070 eV/atom.

No. 8
First-principles (PBE-GGA) data for a relaxed structure of Ac3CdCo3, as listed in the Alexandria database.

Lattice parameters (Å, degrees): 3.9809 10.5419 10.5419 120.00 90.00 90.00
Each line ends with the local moment (μB).
Fractional positions:
Cd: 0.2500 0.6667 0.3333  0.02
Cd: 0.7500 0.3333 0.6667  0.02
Co: 0.7500 0.8567 0.8783  1.14
Co: 0.2500 0.1433 0.1217  1.14
Co: 0.7500 0.0216 0.1433  1.14
Co: 0.7500 0.1217 0.9784  1.14
Co: 0.2500 0.8783 0.0216  1.14
Co: 0.2500 0.9784 0.8567  1.14
Ac: 0.2500 0.6288 0.6908  -0.06
Ac: 0.7500 0.6908 0.0620  -0.06
Ac: 0.2500 0.3092 0.9380  -0.06
Ac: 0.7500 0.3712 0.3092  -0.06
Ac: 0.2500 0.0620 0.3712  -0.06
Ac: 0.7500 0.9380 0.6288  -0.06

The calculated formation energy comes out at -0.046 eV/atom.

No. 9
First-principles (PBE-GGA) data for a relaxed structure of AcCdCo, as listed in the Alexandria database.

Lattice parameters (Å, degrees): 4.0617 4.2662 9.0715 103.60 90.00 90.00
Each line ends with the local moment (μB).
Fractional positions:
Ac: 0.2500 0.9033 0.8067  -0.09
Ac: 0.7500 0.0967 0.1933  -0.09
Cd: 0.2500 0.7049 0.4097  -0.01
Cd: 0.7500 0.2951 0.5903  -0.01
Co: 0.2500 0.5310 0.0620  1.03
Co: 0.7500 0.4690 0.9380  1.03

For the offset from the most stable computed form, the calculation gives 0 kJ/mol of formula units. The calculated formation energy comes out at -0.139 eV/atom.

No. 10
First-principles (PBE-GGA) data for a relaxed structure of Ac4CdCo2, as listed in the Alexandria database.

Lattice parameters (Å, degrees): 4.2787 7.4802 14.5834 90.00 90.00 106.62
Fractional positions:
Ac: 0.5000 0.0000 0.0000
Ac: 0.0764 0.1529 0.2500
Ac: 0.2349 0.4699 0.8934
Ac: 0.7651 0.5301 0.1066
Ac: 0.2349 0.4699 0.6066
Ac: 0.5000 0.0000 0.5000
Ac: 0.7651 0.5301 0.3934
Ac: 0.9236 0.8471 0.7500
Cd: 0.6100 0.2201 0.7500
Cd: 0.3900 0.7799 0.2500
Co: 0.8693 0.7386 0.5630
Co: 0.1307 0.2614 0.4370
Co: 0.8693 0.7386 0.9370
Co: 0.1307 0.2614 0.0630

The calculated formation energy comes out at -0.057 eV/atom.

No. 11
First-principles (PBE-GGA) data for a relaxed structure of Ac12CdCo5, as listed in the Alexandria database.

Lattice parameters (Å, degrees): 9.1559 9.1559 9.1559 108.89 110.35 109.18
Fractional positions:
Ac: 0.6864 0.3194 0.0058
Ac: 0.6864 0.6806 0.3670
Ac: 0.3136 0.3194 0.6330
Ac: 0.8754 0.1841 0.6914
Ac: 0.1866 0.3771 0.1906
Ac: 0.1866 0.9960 0.8094
Ac: 0.4927 0.1841 0.3086
Ac: 0.8134 0.6229 0.8094
Ac: 0.3136 0.6806 0.9942
Ac: 0.5073 0.8159 0.6914
Ac: 0.1246 0.8159 0.3086
Ac: 0.8134 0.0040 0.1906
Co: 0.5000 0.8906 0.3906
Co: 0.6173 0.6173 0.0000
Co: 0.5000 0.1094 0.6094
Co: 0.3827 0.3827 0.0000
Co: 0.0000 0.0000 0.0000
Cd: 0.0000 0.5000 0.5000

The calculated formation energy comes out at -0.045 eV/atom.

No. 12
First-principles (PBE-GGA) data for a relaxed structure of Ac6CdCoIr, as listed in the Alexandria database.

Lattice parameters (Å, degrees): 7.5007 7.5007 7.5059 90.01 89.99 59.99
Fractional positions:
Ac: 0.3514 0.6404 0.2813
Ac: 0.0081 0.6404 0.7188
Ac: 0.3514 0.0082 0.7188
Ac: 0.6404 0.3515 0.7187
Ac: 0.0082 0.3514 0.2812
Ac: 0.6404 0.0081 0.2812
Ir: 0.6666 0.6667 0.5000
Co: 0.3333 0.3334 0.5000
Cd: 0.0000 0.0000 0.0000

The calculated formation energy comes out at -0.188 eV/atom.

No. 13
First-principles (PBE-GGA) data for a relaxed structure of Ac5LaCd2Co, as listed in the Alexandria database.

Lattice parameters (Å, degrees): 3.9938 11.1737 14.6887 90.00 90.00 100.29
Fractional positions:
Cd: 0.8866 0.7732 0.2639
Cd: 0.8893 0.7787 0.8185
Cd: 0.1134 0.2268 0.7639
Cd: 0.1107 0.2213 0.3185
Ac: 0.6391 0.2783 0.5469
Ac: 0.7213 0.4426 0.1717
Ac: 0.7336 0.4671 0.8922
Ac: 0.4895 0.9790 0.6773
Ac: 0.2664 0.5329 0.3922
Ac: 0.3609 0.7217 0.0469
Ac: 0.8894 0.7788 0.5138
Ac: 0.2787 0.5574 0.6717
Ac: 0.1106 0.2212 0.0138
Ac: 0.5105 0.0210 0.1773
La: 0.5005 0.0011 0.9062
La: 0.4995 0.9989 0.4062
Co: 0.2349 0.4699 0.0335
Co: 0.7651 0.5301 0.5335

The calculated formation energy comes out at -0.039 eV/atom.